1.
## HfPOsO2 (PBE-GGA)

Data for a geometry-optimized HfPOsO2 structure.

Results
Symmetry = P4/mmm, No. 123
Calculated total energy = -7.78 eV/atom

Cell lengths 3.8084, 3.8084, 5.0799 Å; angles 90.00, 90.00, 90.00 degrees
With the nearest neighbours (Å) after each atom.
Atoms (fractional coordinates):
Hf  0.5000  0.5000  0.5000  4 P 2.69
Os  0.0000  0.0000  0.0000  4 O 1.90
P  0.0000  0.0000  0.5000  2 Os 2.54, 4 Hf 2.69
O  0.0000  0.5000  0.0000  2 Os 1.90
O  0.5000  0.0000  0.0000  2 Os 1.90



2.
## Hf2OsPbO (PBE-GGA)

Data for a geometry-optimized Hf2OsPbO structure.

Results
Symmetry = P4/mmm, No. 123
Calculated total energy = -7.97 eV/atom

Cell lengths 5.2893, 3.7396, 5.2893 Å; angles 90.00, 90.00, 90.00 degrees
With the nearest neighbours (Å) after each atom.
Atoms (fractional coordinates):
Hf  0.0000  0.0000  0.5000  2 Os 2.64
Hf  0.5000  0.0000  0.0000  2 Os 2.64
Pb  0.5000  0.5000  0.5000  8 Hf 3.24
Os  0.0000  0.0000  0.0000  2 O 1.87
O  0.0000  0.5000  0.0000  2 Os 1.87



3.
## HfOsPbO6 (PBE-GGA)

Data for a geometry-optimized HfOsPbO6 structure.

Results
Symmetry = Imma, No. 74
Calculated total energy = -7.78 eV/atom

Cell lengths 7.4674, 7.2493, 7.5174 Å; angles 118.83, 119.78, 90.00 degrees
With the nearest neighbours (Å) after each atom.
Atoms (fractional coordinates):
O  0.4284  0.6704  0.2321  1 Os 1.92, 1 Hf 2.08
O  0.1748  0.9248  0.3495  2 Hf 2.04, 1 Pb 2.21
O  0.8252  0.0752  0.6505  2 Hf 2.04, 1 Pb 2.21
O  0.5510  0.3010  0.1019  2 Os 1.89
O  0.8037  0.6704  0.2321  1 Os 1.92, 1 Hf 2.08
O  0.5716  0.3296  0.7679  1 Os 1.92, 1 Hf 2.08
O  0.1963  0.3296  0.7679  1 Os 1.92, 1 Hf 2.08
O  0.8037  0.0617  0.2321  1 Os 1.92, 1 Hf 2.08
O  0.4490  0.6990  0.8981  2 Os 1.89
O  0.1963  0.9383  0.7679  1 Os 1.92, 1 Hf 2.08
O  0.4284  0.0617  0.2321  1 Os 1.92, 1 Hf 2.08
O  0.5716  0.9383  0.7679  1 Os 1.92, 1 Hf 2.08
Os  0.5000  0.5000  0.0000  6 O 1.89-1.92
Os  0.5000  0.0000  0.0000  6 O 1.89-1.92
Pb  0.9713  0.7213  0.9426  1 O 2.21
Pb  0.0287  0.2787  0.0574  1 O 2.21
Hf  0.5000  0.0000  0.5000  6 O 2.04-2.08
Hf  0.0000  0.0000  0.5000  6 O 2.04-2.08



4.
## Rb2HfOs3O12 (PBE-GGA)

Data for a geometry-optimized Rb2HfOs3O12 structure.

Results
Symmetry = R-3m, No. 166
Calculated total energy = -7.41 eV/atom

Cell lengths 7.4143, 7.4143, 7.4143 Å; angles 58.81, 58.81, 58.81 degrees
With the nearest neighbours (Å) after each atom.
Atoms (fractional coordinates):
O  0.0698  0.6658  0.0698  1 Os 1.91, 1 Hf 2.07
O  0.0721  0.6917  0.6917  2 Os 1.92
O  0.9302  0.9302  0.3342  1 Os 1.91, 1 Hf 2.07
O  0.6658  0.0698  0.0698  1 Os 1.91, 1 Hf 2.07
O  0.6917  0.0721  0.6917  2 Os 1.92
O  0.0698  0.0698  0.6658  1 Os 1.91, 1 Hf 2.07
O  0.3083  0.3083  0.9279  2 Os 1.92
O  0.3083  0.9279  0.3083  2 Os 1.92
O  0.9302  0.3342  0.9302  1 Os 1.91, 1 Hf 2.07
O  0.6917  0.6917  0.0721  2 Os 1.92
O  0.3342  0.9302  0.9302  1 Os 1.91, 1 Hf 2.07
O  0.9279  0.3083  0.3083  2 Os 1.92
Os  0.0000  0.0000  0.5000  6 O 1.91-1.92
Os  0.0000  0.5000  0.0000  6 O 1.91-1.92
Os  0.5000  0.0000  0.0000  6 O 1.91-1.92
Rb  0.3778  0.3778  0.3778  6 O 3.21-3.26
Rb  0.6222  0.6222  0.6222  6 O 3.21-3.26
Hf  0.0000  0.0000  0.0000  6 O 2.07



5.
## HfSbOs2O (PBE-GGA)

Data for a geometry-optimized HfSbOs2O structure.

Results
Symmetry = P4/mmm, No. 123
Calculated total energy = -8.22 eV/atom

Cell lengths 4.2677, 4.2834, 4.2677 Å; angles 90.00, 90.00, 90.00 degrees
With the nearest neighbours (Å) after each atom.
Atoms (fractional coordinates):
Os  0.0000  0.0000  0.5000  2 O 2.13
Os  0.5000  0.0000  0.0000  2 O 2.13
O  0.0000  0.0000  0.0000  4 Os 2.13, 2 Hf 2.14
Sb  0.5000  0.5000  0.5000  4 Hf 3.02, 8 Os 3.02
Hf  0.0000  0.5000  0.0000  2 O 2.14



6.
## HfSc2OsO (PBE-GGA)

Data for a geometry-optimized HfSc2OsO structure.

Results
Symmetry = P4/mmm, No. 123
Calculated total energy = -7.38 eV/atom

Cell lengths 5.3458, 3.8095, 5.3458 Å; angles 90.00, 90.00, 90.00 degrees
With the nearest neighbours (Å) after each atom.
Atoms (fractional coordinates):
O  0.0000  0.5000  0.0000  2 Hf 1.90
Sc  0.5000  0.0000  0.0000  2 Hf 2.67
Sc  0.0000  0.0000  0.5000  2 Hf 2.67
Os  0.5000  0.5000  0.5000  8 Sc 3.28
Hf  0.0000  0.0000  0.0000  2 O 1.90



no.,ρ (Mg/m³),formation energy from raw total energies (eV/f.u.)
1,9.73,-2.4
2,12.23,-0.1
3,7.60,-15.4
4,6.59,-28.2
5,14.83,0.4
6,7.24,1.9